1.
This record from the Alexandria database describes a geometry-optimized Er2PuCo structure. The functional is PBE.

Output
Formation enthalpy at 0 K = -0.0283 eV/atom
DOS at the Fermi energy = 8.2 states/eV per cell
VASP energy = -7.669 eV/atom
Energy above the most stable polymorph in this dataset = 0 meV per atom

Cell lengths 3.3315, 3.3315, 8.6138 Å; angles 90.00, 90.00, 90.00 degrees
Positions (direct):
Er (0.0000, 0.0000, 0.1861)
Er (0.0000, 0.0000, 0.8139)
Pu (0.5000, 0.5000, 0.5000)
Co (0.5000, 0.5000, 0.0000)

***

2.
This record from the Alexandria database describes a geometry-optimized LaDy3Os structure. The functional is PBE.

Output
Formation enthalpy at 0 K = -0.0208 eV/atom
DOS at the Fermi energy = 7.5 states/eV per cell
VASP energy = -6.014 eV/atom

Cell lengths 5.4620, 5.4620, 5.4620 Å; angles 90.00, 90.00, 90.00 degrees
Positions (direct):
La (0.0000, 0.0000, 0.0000)
Dy (0.0000, 0.5000, 0.5000)
Dy (0.5000, 0.0000, 0.5000)
Dy (0.5000, 0.5000, 0.0000)
Os (0.5000, 0.5000, 0.5000)

***

3.
This record from the Alexandria database describes a geometry-optimized AgPPtO2 structure. The functional is PBE.

Output
DOS at the Fermi energy = 4.3 states/eV per cell
ΔE_f (raw) = 220 meV/atom
VASP energy = -4.624 eV/atom
Energy above the most stable polymorph in this dataset = 0 meV per atom

Cell lengths 3.8283, 3.8283, 5.3206 Å; angles 90.00, 90.00, 90.00 degrees
Positions (direct):
Ag (0.0000, 0.0000, 0.0000)
P (0.5000, 0.5000, 0.0000)
Pt (0.5000, 0.5000, 0.5000)
O (0.0000, 0.5000, 0.5000)
O (0.5000, 0.0000, 0.5000)

***

4.
This record from the Alexandria database describes a geometry-optimized EuInCl3 structure. The functional is PBE.

Output
DOS at the Fermi energy = 14.5 states/eV per cell
ΔE_f (raw) = -1663 meV/atom
VASP energy = -5.373 eV/atom

Cell lengths 5.5976, 5.5976, 5.5976 Å; angles 90.00, 90.00, 90.00 degrees
Positions (direct):
Eu (0.0000, 0.0000, 0.0000)
In (0.5000, 0.5000, 0.5000)
Cl (0.0000, 0.0000, 0.5000)
Cl (0.0000, 0.5000, 0.0000)
Cl (0.5000, 0.0000, 0.0000)

***

5.
This record from the Alexandria database describes a geometry-optimized Mg2FeTc structure. The functional is PBE.

Output
Formation enthalpy at 0 K = 0.2984 eV/atom
DOS at the Fermi energy = 3.3 states/eV per cell
VASP energy = -5.206 eV/atom
Energy above the most stable polymorph in this dataset = 202 meV per atom

Cell lengths 2.6460, 4.3266, 5.4593 Å; angles 90.00, 90.00, 90.00 degrees
Positions (direct):
Mg (0.0000, 0.0000, 0.2498)
Mg (0.0000, 0.0000, 0.7502)
Fe (0.5000, 0.5000, 0.0000)
Tc (0.5000, 0.5000, 0.5000)

***

6.
This record from the Alexandria database describes a geometry-optimized SrCoHg3 structure. The functional is PBE.

Output
Formation enthalpy at 0 K = -0.0899 eV/atom
DOS at the Fermi energy = 2.3 states/eV per cell
VASP energy = -2.029 eV/atom
Energy above the most stable polymorph in this dataset = 0 meV per atom

Cell lengths 5.0656, 5.0656, 5.0656 Å; angles 90.00, 90.00, 90.00 degrees
Positions (direct):
Sr (0.0000, 0.0000, 0.0000)
Co (0.5000, 0.5000, 0.5000)
Hg (0.0000, 0.5000, 0.5000)
Hg (0.5000, 0.0000, 0.5000)
Hg (0.5000, 0.5000, 0.0000)

***

7.
This record from the Alexandria database describes a geometry-optimized Zn2CuCl structure. The functional is PBE.

Output
DOS at the Fermi energy = 0.0 states/eV per cell
ΔE_f (raw) = 36 meV/atom
VASP energy = -2.087 eV/atom
Energy above the most stable polymorph in this dataset = 139 meV per atom

Cell lengths 6.4639, 6.4639, 8.1919 Å; angles 90.00, 90.00, 90.00 degrees
Positions (direct):
Zn (0.2264, 0.2500, 0.1250)
Zn (0.2500, 0.7264, 0.3750)
Zn (0.2500, 0.7736, 0.8750)
Zn (0.2736, 0.2500, 0.6250)
Zn (0.7264, 0.7500, 0.6250)
Zn (0.7500, 0.2264, 0.8750)
Zn (0.7500, 0.2736, 0.3750)
Zn (0.7736, 0.7500, 0.1250)
Cu (0.0000, 0.0000, 0.0000)
Cu (0.0000, 0.5000, 0.2500)
Cu (0.5000, 0.0000, 0.7500)
Cu (0.5000, 0.5000, 0.5000)
Cl (0.0000, 0.0000, 0.5000)
Cl (0.0000, 0.5000, 0.7500)
Cl (0.5000, 0.0000, 0.2500)
Cl (0.5000, 0.5000, 0.0000)

***

8.
This record from the Alexandria database describes a geometry-optimized BiO2 structure. The functional is PBE.

Output
DOS at the Fermi energy = 7.0 states/eV per cell
ΔE_f (raw) = -752 meV/atom
VASP energy = -5.351 eV/atom
Energy above the most stable polymorph in this dataset = 245 meV per atom

Cell lengths 7.0300, 7.0300, 7.0300 Å; angles 60.00, 60.00, 60.00 degrees
Positions (direct):
Bi (0.0000, 0.0000, 0.0000)
Bi (0.0000, 0.0000, 0.5000)
Bi (0.0000, 0.5000, 0.0000)
Bi (0.5000, 0.0000, 0.0000)
O (0.1855, 0.7715, 0.7715)
O (0.2285, 0.2285, 0.2285)
O (0.2285, 0.2285, 0.8145)
O (0.2285, 0.8145, 0.2285)
O (0.7715, 0.1855, 0.7715)
O (0.7715, 0.7715, 0.1855)
O (0.7715, 0.7715, 0.7715)
O (0.8145, 0.2285, 0.2285)

***

9.
This record from the Alexandria database describes a geometry-optimized Cd2SbAu structure. The functional is PBE.

Output
DOS at the Fermi energy = 2.2 states/eV per cell
ΔE_f (raw) = 37 meV/atom
VASP energy = -2.270 eV/atom

Cell lengths 3.0894, 5.4971, 10.7988 Å; angles 90.00, 90.00, 90.00 degrees
Positions (direct):
Cd (0.0000, 0.0000, 0.2298)
Cd (0.0000, 0.0000, 0.7702)
Cd (0.5000, 0.5000, 0.2702)
Cd (0.5000, 0.5000, 0.7298)
Sb (0.0000, 0.5000, 0.0000)
Sb (0.5000, 0.0000, 0.5000)
Au (0.0000, 0.5000, 0.5000)
Au (0.5000, 0.0000, 0.0000)

***

10.
This record from the Alexandria database describes a geometry-optimized ZrMn2HRu structure. The functional is PBE.

Output
DOS at the Fermi energy = 4.9 states/eV per cell
VASP energy = -7.958 eV/atom
Energy above the most stable polymorph in this dataset = 22 meV per atom

Cell lengths 3.8459, 3.8459, 4.1808 Å; angles 90.00, 90.00, 90.00 degrees
Positions (direct):
Zr (0.0000, 0.0000, 0.0000)
Mn (0.0000, 0.5000, 0.5000)
Mn (0.5000, 0.0000, 0.5000)
H (0.5000, 0.5000, 0.5000)
Ru (0.5000, 0.5000, 0.0000)

***

11.
This record from the Alexandria database describes a geometry-optimized Ba2TlAs structure. The functional is PBE.

Output
Formation enthalpy at 0 K = -0.5062 eV/atom
DOS at the Fermi energy = 5.2 states/eV per cell
VASP energy = -3.222 eV/atom
Energy above the most stable polymorph in this dataset = 196 meV per atom

Cell lengths 4.9060, 4.9060, 11.8264 Å; angles 90.00, 90.00, 90.00 degrees
Positions (direct):
Ba (0.0000, 0.0000, 0.0000)
Ba (0.0000, 0.5000, 0.2500)
Ba (0.5000, 0.0000, 0.7500)
Ba (0.5000, 0.5000, 0.5000)
Tl (0.0000, 0.5000, 0.7500)
Tl (0.5000, 0.0000, 0.2500)
As (0.0000, 0.0000, 0.5000)
As (0.5000, 0.5000, 0.0000)

***

12.
This record from the Alexandria database describes a geometry-optimized Rb2MgTl6 structure. The functional is PBE.

Output
Formation enthalpy at 0 K = -0.0378 eV/atom
DOS at the Fermi energy = 6.8 states/eV per cell
VASP energy = -2.007 eV/atom

Cell lengths 7.1638, 7.1638, 6.9996 Å; angles 90.00, 90.00, 120.00 degrees
Positions (direct):
Rb (0.3333, 0.6667, 0.1479)
Rb (0.6667, 0.3333, 0.8521)
Mg (0.0000, 0.0000, 0.0000)
Tl (0.1761, 0.3522, 0.6679)
Tl (0.1761, 0.8239, 0.6679)
Tl (0.3522, 0.1761, 0.3321)
Tl (0.6478, 0.8239, 0.6679)
Tl (0.8239, 0.1761, 0.3321)
Tl (0.8239, 0.6478, 0.3321)

***

13.
This record from the Alexandria database describes a geometry-optimized Si2WSe structure. The functional is PBE.

Output
DOS at the Fermi energy = 2.7 states/eV per cell
ΔE_f (raw) = 55 meV/atom
VASP energy = -6.766 eV/atom

Cell lengths 14.4915, 3.3881, 6.0988 Å; angles 90.00, 91.94, 90.00 degrees
Positions (direct):
Si (0.0000, 0.0000, 0.0000)
Si (0.0475, 0.5000, 0.7194)
Si (0.1100, 0.5000, 0.1447)
Si (0.1932, 0.5000, 0.5143)
Si (0.5000, 0.5000, 0.0000)
Si (0.5475, 0.0000, 0.7194)
Si (0.6100, 0.0000, 0.1447)
Si (0.6932, 0.0000, 0.5143)
W (0.1696, 0.0000, 0.8302)
W (0.3296, 0.5000, 0.7896)
W (0.6696, 0.5000, 0.8302)
W (0.8296, 0.0000, 0.7896)
Se (0.3074, 0.0000, 0.0904)
Se (0.4081, 0.0000, 0.5253)
Se (0.8074, 0.5000, 0.0904)
Se (0.9081, 0.5000, 0.5253)

***

14.
This record from the Alexandria database describes a geometry-optimized CuIrSe structure. The functional is PBE.

Output
DOS at the Fermi energy = 1.8 states/eV per cell
ΔE_f (raw) = 323 meV/atom
VASP energy = -5.158 eV/atom
Energy above the most stable polymorph in this dataset = 61 meV per atom

Cell lengths 3.3700, 3.3700, 8.3300 Å; angles 90.00, 90.00, 90.00 degrees
Positions (direct):
Cu (0.0000, 0.0000, 0.0000)
Cu (0.5000, 0.5000, 0.5000)
Ir (0.0000, 0.0000, 0.3209)
Ir (0.5000, 0.5000, 0.8209)
Se (0.0000, 0.0000, 0.7096)
Se (0.5000, 0.5000, 0.2096)

***

15.
This record from the Alexandria database describes a geometry-optimized LaSi structure. The functional is PBE.

Output
DOS at the Fermi energy = 7.0 states/eV per cell
ΔE_f (raw) = -501 meV/atom
VASP energy = -5.676 eV/atom

Cell lengths 5.6533, 5.6533, 6.3768 Å; angles 90.00, 90.00, 90.00 degrees
Positions (direct):
La (0.0000, 0.5000, 0.0000)
La (0.0000, 0.5000, 0.5000)
La (0.5000, 0.0000, 0.0000)
La (0.5000, 0.0000, 0.5000)
Si (0.0000, 0.0000, 0.2015)
Si (0.0000, 0.0000, 0.7985)
Si (0.5000, 0.5000, 0.2985)
Si (0.5000, 0.5000, 0.7015)

***

16.
This record from the Alexandria database describes a geometry-optimized CrHg2P structure. The functional is PBE.

Output
Formation enthalpy at 0 K = 0.1193 eV/atom
DOS at the Fermi energy = 2.2 states/eV per cell
VASP energy = -3.790 eV/atom

Cell lengths 3.3800, 3.1275, 7.8678 Å; angles 90.00, 102.15, 90.00 degrees
Positions (direct):
Cr (0.0000, 0.0000, 0.0000)
Hg (0.1975, 0.0000, 0.3875)
Hg (0.8532, 0.5000, 0.6841)
P (0.5396, 0.5000, 0.0812)

***

17.
This record from the Alexandria database describes a geometry-optimized Ce4YIr4 structure. The functional is PBE.

Output
Formation enthalpy at 0 K = -0.6678 eV/atom
DOS at the Fermi energy = 27.7 states/eV per cell
VASP energy = -7.961 eV/atom

Cell lengths 8.9721, 8.9721, 5.6567 Å; angles 90.00, 90.00, 90.00 degrees
Positions (direct):
Ce (0.0641, 0.6553, 0.1928)
Ce (0.1553, 0.9359, 0.6928)
Ce (0.3447, 0.5641, 0.6928)
Ce (0.4359, 0.8447, 0.1928)
Ce (0.5641, 0.1553, 0.8072)
Ce (0.6553, 0.4359, 0.3072)
Ce (0.8447, 0.0641, 0.3072)
Ce (0.9359, 0.3447, 0.8072)
Y (0.2500, 0.2500, 0.2500)
Y (0.7500, 0.7500, 0.7500)
Ir (0.0437, 0.6304, 0.6902)
Ir (0.1304, 0.9563, 0.1902)
Ir (0.3696, 0.5437, 0.1902)
Ir (0.4563, 0.8696, 0.6902)
Ir (0.5437, 0.1304, 0.3098)
Ir (0.6304, 0.4563, 0.8098)
Ir (0.8696, 0.0437, 0.8098)
Ir (0.9563, 0.3696, 0.3098)

***

18.
This record from the Alexandria database describes a geometry-optimized ZrAsIr3 structure. The functional is PBE.

Output
Formation enthalpy at 0 K = 0.5314 eV/atom
DOS at the Fermi energy = 11.4 states/eV per cell
VASP energy = -7.425 eV/atom
Energy above the most stable polymorph in this dataset = 0 meV per atom

Cell lengths 4.5729, 4.5729, 4.5729 Å; angles 90.00, 90.00, 90.00 degrees
Positions (direct):
Zr (0.0000, 0.0000, 0.0000)
As (0.5000, 0.5000, 0.5000)
Ir (0.0000, 0.5000, 0.5000)
Ir (0.5000, 0.0000, 0.5000)
Ir (0.5000, 0.5000, 0.0000)

***

19.
This record from the Alexandria database describes a geometry-optimized NdEr3Cu4 structure. The functional is PBE.

Output
Formation enthalpy at 0 K = -0.2369 eV/atom
DOS at the Fermi energy = 4.9 states/eV per cell
VASP energy = -4.592 eV/atom

Cell lengths 4.9193, 4.9193, 6.9337 Å; angles 90.00, 90.00, 90.00 degrees
Positions (direct):
Nd (0.0000, 0.0000, 0.0000)
Er (0.0000, 0.0000, 0.5000)
Er (0.5000, 0.5000, 0.0000)
Er (0.5000, 0.5000, 0.5000)
Cu (0.0000, 0.5000, 0.2626)
Cu (0.0000, 0.5000, 0.7374)
Cu (0.5000, 0.0000, 0.2626)
Cu (0.5000, 0.0000, 0.7374)

***

20.
This record from the Alexandria database describes a geometry-optimized SnHPd3 structure. The functional is PBE.

Output
DOS at the Fermi energy = 8.8 states/eV per cell
VASP energy = -4.889 eV/atom
Energy above the most stable polymorph in this dataset = 88 meV per atom

Cell lengths 7.2046, 7.2046, 5.8675 Å; angles 101.97, 101.97, 82.58 degrees
Positions (direct):
Sn (0.0022, 0.9978, 0.7500)
Sn (0.3831, 0.6169, 0.2500)
Sn (0.6169, 0.3831, 0.7500)
Sn (0.9978, 0.0022, 0.2500)
H (0.1791, 0.4386, 0.6468)
H (0.4386, 0.1791, 0.1468)
H (0.5614, 0.8209, 0.8532)
H (0.8209, 0.5614, 0.3532)
Pd (0.0537, 0.6654, 0.9309)
Pd (0.0587, 0.6626, 0.4352)
Pd (0.3040, 0.3100, 0.9003)
Pd (0.3100, 0.3040, 0.4003)
Pd (0.3346, 0.9463, 0.5691)
Pd (0.3374, 0.9413, 0.0648)
Pd (0.6626, 0.0587, 0.9352)
Pd (0.6654, 0.0537, 0.4309)
Pd (0.6900, 0.6960, 0.5997)
Pd (0.6960, 0.6900, 0.0997)
Pd (0.9413, 0.3374, 0.5648)
Pd (0.9463, 0.3346, 0.0691)

***

21.
This record from the Alexandria database describes a geometry-optimized CoRh2Se structure. The functional is PBE.

Output
DOS at the Fermi energy = 7.5 states/eV per cell
ΔE_f (raw) = 206 meV/atom
VASP energy = -6.117 eV/atom

Cell lengths 4.4367, 4.4367, 2.9178 Å; angles 90.00, 90.00, 90.00 degrees
Positions (direct):
Co (0.0000, 0.0000, 0.0000)
Rh (0.0000, 0.5000, 0.5000)
Rh (0.5000, 0.0000, 0.5000)
Se (0.5000, 0.5000, 0.0000)

***

22.
This record from the Alexandria database describes a geometry-optimized U2Tl3SnTe6 structure. The functional is PBE.

Output
DOS at the Fermi energy = 16.7 states/eV per cell
ΔE_f (raw) = -487 meV/atom
VASP energy = -4.865 eV/atom

Cell lengths 7.8323, 7.8323, 8.5088 Å; angles 98.80, 98.80, 119.93 degrees
Positions (direct):
U (0.1673, 0.8327, 0.0000)
U (0.8327, 0.1673, 0.0000)
Tl (0.0000, 0.0000, 0.5000)
Tl (0.3364, 0.6636, 0.5000)
Tl (0.6636, 0.3364, 0.5000)
Sn (0.5000, 0.5000, 0.0000)
Te (0.0841, 0.4278, 0.7840)
Te (0.2267, 0.2267, 0.2121)
Te (0.4278, 0.0841, 0.7840)
Te (0.5722, 0.9159, 0.2160)
Te (0.7733, 0.7733, 0.7879)
Te (0.9159, 0.5722, 0.2160)

***

23.
This record from the Alexandria database describes a geometry-optimized Rb2Cd12AgAu3 structure. The functional is PBE.

Output
Formation enthalpy at 0 K = 0.0516 eV/atom
DOS at the Fermi energy = 5.8 states/eV per cell
VASP energy = -1.371 eV/atom

Cell lengths 9.2708, 9.2708, 9.2708 Å; angles 62.89, 62.89, 62.89 degrees
Positions (direct):
Rb (0.1015, 0.1015, 0.1015)
Rb (0.8985, 0.8985, 0.8985)
Cd (0.1483, 0.6160, 0.6160)
Cd (0.1617, 0.1617, 0.5022)
Cd (0.1617, 0.5022, 0.1617)
Cd (0.3840, 0.3840, 0.8517)
Cd (0.3840, 0.8517, 0.3840)
Cd (0.4978, 0.8383, 0.8383)
Cd (0.5022, 0.1617, 0.1617)
Cd (0.6160, 0.1484, 0.6160)
Cd (0.6160, 0.6160, 0.1484)
Cd (0.8383, 0.4978, 0.8383)
Cd (0.8383, 0.8383, 0.4978)
Cd (0.8516, 0.3840, 0.3840)
Ag (0.5000, 0.5000, 0.5000)
Au (0.0000, 0.5000, 0.5000)
Au (0.5000, 0.0000, 0.5000)
Au (0.5000, 0.5000, 0.0000)

***

24.
This record from the Alexandria database describes a geometry-optimized TcOsS2N structure. The functional is PBE.

Output
DOS at the Fermi energy = 2.6 states/eV per cell
ΔE_f (raw) = 882 meV/atom
VASP energy = -6.753 eV/atom
Energy above the most stable polymorph in this dataset = 0 meV per atom

Cell lengths 4.8191, 4.8191, 3.6658 Å; angles 90.00, 90.00, 90.00 degrees
Positions (direct):
Tc (0.0000, 0.0000, 0.0000)
Os (0.5000, 0.5000, 0.5000)
S (0.0000, 0.5000, 0.5000)
S (0.5000, 0.0000, 0.5000)
N (0.5000, 0.5000, 0.0000)